# RbSiO2, relaxed, DFT GGA-PBE
# formation energy (no corrections): -140.4 kJ/mol of atoms
# calculated volume: 239.0 Å³ per cell
# calculated density: 3.034 Mg/m³
# DOS(E_F): 0.8 states/eV/f.u.
data_RbSiO2
_symmetry_space_group_name_H-M 'R -3 m'
_symmetry_Int_Tables_number 166
_symmetry_space_group_name_Hall '-R 3 2"'
_cell_length_a 3.7039
_cell_length_b 3.7039
_cell_length_c 20.1136
_cell_angle_alpha 90.00
_cell_angle_beta 90.00
_cell_angle_gamma 120.00
loop_
_atom_site_label
_atom_site_type_symbol
_atom_site_fract_x
_atom_site_fract_y
_atom_site_fract_z
Rb1 Rb 0.0000 0.0000 0.0000
Si1 Si 0.0000 0.0000 0.5000
O1 O 0.0000 0.0000 0.4224

=====

# MgTcBr4, relaxed, DFT GGA-PBE
# formation energy (no corrections): 92.4 kJ/mol of atoms
# calculated volume: 702.2 Å³ per cell
# calculated density: 4.180 Mg/m³
# DOS(E_F): 5.3 states/eV/f.u.
data_MgTcBr4
_symmetry_space_group_name_H-M 'F -4 3 m'
_symmetry_Int_Tables_number 216
_symmetry_space_group_name_Hall 'F -4 2 3'
_cell_length_a 8.889
_cell_length_b 8.889
_cell_length_c 8.889
_cell_angle_alpha 90.00
_cell_angle_beta 90.00
_cell_angle_gamma 90.00
loop_
_atom_site_label
_atom_site_type_symbol
_atom_site_fract_x
_atom_site_fract_y
_atom_site_fract_z
Mg1 Mg 0.000 0.000 0.000
Tc1 Tc 0.250 0.250 0.750
Br1 Br 0.125 0.125 0.375

=====

# La2PtRh3, relaxed, DFT GGA-PBE
# calculated volume: 347.7 Å³ per cell
# calculated density: 11.199 Mg/m³
# energy of formation: -477 kJ/mol of formula units
# DOS(E_F): 3.6 states/eV/f.u.
data_La2PtRh3
_symmetry_space_group_name_H-M 'R -3 m'
_symmetry_Int_Tables_number 166
_symmetry_space_group_name_Hall '-R 3 2"'
_cell_length_a 5.4882
_cell_length_b 5.4882
_cell_length_c 13.3273
_cell_angle_alpha 90.00
_cell_angle_beta 90.00
_cell_angle_gamma 120.00
loop_
_atom_site_label
_atom_site_type_symbol
_atom_site_fract_x
_atom_site_fract_y
_atom_site_fract_z
La1 La 0.0000 0.0000 0.1242
Pt1 Pt 0.0000 0.0000 0.5000
Rh1 Rh 0.0000 0.5000 0.0000

=====

# TaIrSe, relaxed, DFT GGA-PBE
# formation energy (no corrections): 4.8 kJ/mol of atoms
# calculated volume: 218.2 Å³ per cell
# calculated density: 13.765 Mg/m³
# energy above the most stable polymorph in this dataset: 0.293 eV per atom
# DOS(E_F): 1.9 states/eV/f.u.
data_TaIrSe
_symmetry_space_group_name_H-M 'A m m 2'
_symmetry_Int_Tables_number 38
_cell_length_a 10.263
_cell_length_b 3.489
_cell_length_c 6.093
_cell_angle_alpha 90.00
_cell_angle_beta 90.00
_cell_angle_gamma 90.00
loop_
_symmetry_equiv_pos_as_xyz
'x,y,z'
'-x,-y,z'
'-x,y,z'
'x,-y,z'
'x,y+1/2,z+1/2'
'-x,-y+1/2,z+1/2'
'-x,y+1/2,z+1/2'
'x,-y+1/2,z+1/2'
loop_
_atom_site_label
_atom_site_type_symbol
_atom_site_fract_x
_atom_site_fract_y
_atom_site_fract_z
Ta1 Ta 0.165 0.000 0.000
Ir1 Ir 0.000 0.000 0.335
Ir2 Ir 0.500 0.000 0.040
Se1 Se 0.337 0.000 0.337

=====

# LaThMgCu, relaxed, DFT GGA-PBE
# calculated volume: 422.3 Å³ per cell
# calculated density: 7.215 Mg/m³
# energy of formation: 24 kJ/mol of formula units
# DOS(E_F): 4.3 states/eV/f.u.
data_LaThMgCu
_symmetry_space_group_name_H-M 'F -4 3 m'
_symmetry_Int_Tables_number 216
_symmetry_space_group_name_Hall 'F -4 2 3'
_cell_length_a 7.503
_cell_length_b 7.503
_cell_length_c 7.503
_cell_angle_alpha 90.00
_cell_angle_beta 90.00
_cell_angle_gamma 90.00
loop_
_atom_site_label
_atom_site_type_symbol
_atom_site_fract_x
_atom_site_fract_y
_atom_site_fract_z
La1 La 0.000 0.000 0.000
Th1 Th 0.000 0.000 0.500
Mg1 Mg 0.250 0.250 0.750
Cu1 Cu 0.250 0.250 0.250

=====

# CoTePb2, relaxed, DFT GGA-PBE
# formation energy (no corrections): 56.3 kJ/mol of atoms
# calculated volume: 426.3 Å³ per cell
# calculated density: 9.362 Mg/m³
# energy above the most stable polymorph in this dataset: 0.502 eV per atom
# DOS(E_F): 6.5 states/eV/f.u.
data_CoTePb2
_symmetry_space_group_name_H-M 'F m -3 m'
_symmetry_Int_Tables_number 225
_symmetry_space_group_name_Hall '-F 4 2 3'
_cell_length_a 7.526
_cell_length_b 7.526
_cell_length_c 7.526
_cell_angle_alpha 90.00
_cell_angle_beta 90.00
_cell_angle_gamma 90.00
loop_
_atom_site_label
_atom_site_type_symbol
_atom_site_fract_x
_atom_site_fract_y
_atom_site_fract_z
Co1 Co 0.000 0.000 0.000
Te1 Te 0.000 0.000 0.500
Pb1 Pb 0.250 0.250 0.250

=====

Number 1: E -66.4 eV per cell. Number 2: E -51.6 eV per cell. Number 3: E -128.7 eV per cell. Number 4: E -96.2 eV per cell. Number 5: E -71.1 eV per cell. Number 6: E -61.3 eV per cell.